Record 1
First-principles (GGA-PBE) data for a geometry-optimized Ac2IN2 structure, as listed in Alexandria.

The space group is I4/mmm (No. 139) and the conventional cell measures 4.3502, 4.3502 and 14.7161 Å, with angles of 90.00, 90.00 and 90.00 degrees. The inequivalent atoms are Ac at (0.0000, 0.0000, 0.1683), I at (0.0000, 0.0000, 0.5000) and N at (0.0000, 0.5000, 0.2500).

The raw formation energy is -1155 meV per atom. The calculation puts the final energy at -6.4386 eV per atom. As for the total moment: 0.130 μB per atom. The crystal system is tetragonal. The value obtained for the relative energy among the computed polymorphs is 0.0000 eV per atom.


Record 2
First-principles (GGA-PBE) data for a geometry-optimized AcCd12Pd6 structure, as listed in Alexandria.

The space group is R-3m (No. 166, hexagonal axes) and the conventional cell measures 12.4010, 12.4010 and 9.3732 Å, with angles of 90.00, 90.00 and 120.00 degrees. The inequivalent atoms are Ac at (0.0000, 0.0000, 0.0000), Cd at (0.0000, 0.3845, 0.5000), Cd at (0.0859, 0.1718, 0.3180) and Pd at (0.0482, 0.5241, 0.2502).

The calculation puts the final energy at -2.6862 eV per atom. As for the total moment: 0.000 μB per atom. The crystal system is trigonal. The formation energy is -0.252 eV per atom.


Record 3
First-principles (GGA-PBE) data for a geometry-optimized MnFeNiW structure, as listed in Alexandria.

The space group is F-43m (No. 216) and the conventional cell measures 5.8280, 5.8280 and 5.8280 Å, with angles of 90.00, 90.00 and 90.00 degrees. The inequivalent atoms are Mn at (0.0000, 0.0000, 0.0000), Fe at (0.0000, 0.0000, 0.5000), Ni at (0.2500, 0.2500, 0.7500) and W at (0.2500, 0.2500, 0.2500).

The calculation puts the final energy at -8.9773 eV per atom. As for the total moment: 0.783 μB per atom. The crystal system is cubic. The formation energy is 0.114 eV per atom.


Q: Which value of final energy does entry 3 give?
A: -8.9773 eV per atom